No. 1
The following is a meta-GGA SCAN calculation of a PBEsol-optimized structure of Ba2AlNi, from the Alexandria database.

The structure in CIF format:
```
data_Ba2AlNi
_chemical_formula_sum 'Ba4 Al2 Ni2'
_space_group_name_H-M_alt 'C 1 m 1'
_space_group_IT_number 8
_cell_length_a 11.936
_cell_length_b 3.860
_cell_length_c 5.658
_cell_angle_alpha 90.00
_cell_angle_beta 118.29
_cell_angle_gamma 90.00
loop_
_space_group_symop_operation_xyz
'x,y,z'
'x,-y,z'
'x+1/2,y+1/2,z'
'x+1/2,-y+1/2,z'
loop_
_atom_site_label
_atom_site_type_symbol
_atom_site_fract_x
_atom_site_fract_y
_atom_site_fract_z
Ba1 Ba 0.000 0.000 0.000
Ba2 Ba 0.182 0.000 0.682
Al1 Al 0.299 0.500 0.299
Ni1 Ni 0.421 0.000 0.422
```

Calculated values
- ΔH_f (0 K): -26 meV per atom

No. 2
The following is a meta-GGA SCAN calculation of a PBEsol-optimized structure of LaW11O33, from the Alexandria database.

The structure in CIF format:
```
data_LaW11O33
_chemical_formula_sum 'La1 W11 O33'
_space_group_name_H-M_alt 'P -1'
_space_group_IT_number 2
_cell_length_a 8.553
_cell_length_b 8.554
_cell_length_c 9.365
_cell_angle_alpha 100.50
_cell_angle_beta 90.00
_cell_angle_gamma 113.58
loop_
_space_group_symop_operation_xyz
'x,y,z'
'-x,-y,-z'
loop_
_atom_site_label
_atom_site_type_symbol
_atom_site_fract_x
_atom_site_fract_y
_atom_site_fract_z
La1 La 0.000 0.000 0.000
W1 W 0.042 0.366 0.233
W2 W 0.142 0.097 0.677
W3 W 0.230 0.815 0.140
W4 W 0.321 0.549 0.588
W5 W 0.415 0.277 0.049
W6 W 0.500 0.000 0.500
O1 O 0.000 0.000 0.500
O2 O 0.044 0.866 0.221
O3 O 0.044 0.868 0.734
O4 O 0.089 0.735 0.956
O5 O 0.136 0.590 0.182
O6 O 0.137 0.592 0.682
O7 O 0.181 0.454 0.409
O8 O 0.221 0.310 0.133
O9 O 0.228 0.319 0.636
O10 O 0.266 0.177 0.867
O11 O 0.310 0.044 0.089
O12 O 0.318 0.046 0.591
O13 O 0.363 0.909 0.318
O14 O 0.409 0.773 0.045
O15 O 0.410 0.773 0.545
O16 O 0.455 0.637 0.772
O17 O 0.500 0.500 0.000
O18 O 0.500 0.500 0.500
```

Calculated values
- Formation energy (no corrections): -53.9 kcal/mol of atoms